Record 1
Below is a relaxed UNiTeO6 crystal, with properties calculated at the GGA+U level.

Summary:
crystal system	trigonal

```
UNiTeO6
1.0
-3.5643 3.8118 -2.0591
0.9270 -4.7733 -2.7983
-6.6380 -3.8486 4.3659
Ni Te O U
2 2 12 2
direct
0.0000 0.0000 0.5000
0.0000 0.0000 0.0000
0.6667 0.3333 0.7500
0.3333 0.6667 0.2500
0.0121 0.3423 0.6291
0.3423 0.0121 0.1291
0.3303 0.9879 0.6291
0.9879 0.3303 0.1291
0.6577 0.6697 0.6291
0.0121 0.6697 0.8709
0.3423 0.3303 0.3709
0.6697 0.6577 0.1291
0.3303 0.3423 0.8709
0.6697 0.0121 0.3709
0.9879 0.6577 0.3709
0.6577 0.9879 0.8709
0.3333 0.6667 0.7500
0.6667 0.3333 0.2500
```

***

Record 2
Below is a relaxed VNi2TeO6 crystal, with properties calculated at the GGA+U level.

Summary:
crystal system	tetragonal

```
VNi2TeO6
1.0
4.8444 0.0000 0.0000
0.0000 5.6558 0.0000
0.0000 0.0000 5.6558
Ni O V Te
2 6 1 1
direct
0.8531 0.0000 0.5000
0.8531 0.5000 0.0000
0.7517 0.7349 0.7349
0.2696 0.5000 0.5000
0.7517 0.2651 0.2651
0.2362 0.0000 0.0000
0.7517 0.7349 0.2651
0.7517 0.2651 0.7349
0.6108 0.5000 0.5000
0.6171 0.0000 0.0000
```

***

Record 3
Below is a relaxed YNiTe2O8 crystal, with properties calculated at the GGA+U level.

Summary:
crystal system	trigonal

```
YNiTe2O8
1.0
-0.2994 -4.3510 4.1166
0.4771 -1.3988 -5.8123
6.0939 0.0440 0.4897
Te O Y Ni
2 8 1 1
direct
0.6667 0.3333 0.3431
0.3333 0.6667 0.6569
0.6926 0.8463 0.7365
0.3333 0.6667 0.3616
0.8463 0.6926 0.2635
0.6667 0.3333 0.6384
0.3074 0.1537 0.2635
0.8463 0.1537 0.2635
0.1537 0.3074 0.7365
0.1537 0.8463 0.7365
0.0000 0.0000 0.0000
0.0000 0.0000 0.5000
```

***

Table of magnetization (μB/f.u.), in record order: 1.95 3.00 1.62
Table of raw total energy (eV/cell), in record order: -125.3 -55.5 -70.2